[1]
# HfZr2Mn (GGA-PBE, relaxed)
data_HfZr2Mn
_chemical_formula_sum 'Hf4 Zr8 Mn4'
_cell_length_a 6.7409
_cell_length_b 6.7409
_cell_length_c 6.7409
_cell_angle_alpha 90.00
_cell_angle_beta 90.00
_cell_angle_gamma 90.00
_symmetry_space_group_name_H-M 'F m -3 m'
_symmetry_Int_Tables_number 225
_symmetry_space_group_name_Hall '-F 4 2 3'
loop_
_atom_site_label
_atom_site_type_symbol
_atom_site_fract_x
_atom_site_fract_y
_atom_site_fract_z
Hf1 Hf 0.0000 0.0000 0.0000
Zr1 Zr 0.2500 0.2500 0.2500
Mn1 Mn 0.0000 0.0000 0.5000
# - DFT total energy (eV/atom) = -8.823
# - magnetic moment (μB per formula unit) = 0.00
# - D(E_F) (states/eV/atom) = 1.4553
# - formation enthalpy at 0 K (eV per atom) = 0.2319

***

[2]
# TmPd4Pb (GGA-PBE, relaxed)
data_TmPd4Pb
_chemical_formula_sum 'Tm2 Pd8 Pb2'
_cell_length_a 4.9868
_cell_length_b 8.9890
_cell_length_c 4.9974
_cell_angle_alpha 90.00
_cell_angle_beta 102.23
_cell_angle_gamma 90.00
_symmetry_space_group_name_H-M 'C 1 2/m 1'
_symmetry_Int_Tables_number 12
loop_
_symmetry_equiv_pos_as_xyz
'x,y,z'
'-x,-y,-z'
'-x,y,-z'
'x,-y,z'
'x+1/2,y+1/2,z'
'-x+1/2,-y+1/2,-z'
'-x+1/2,y+1/2,-z'
'x+1/2,-y+1/2,z'
loop_
_atom_site_label
_atom_site_type_symbol
_atom_site_fract_x
_atom_site_fract_y
_atom_site_fract_z
Tm1 Tm 0.0000 0.0000 0.0000
Pd1 Pd 0.0000 0.1668 0.5000
Pd2 Pd 0.0000 0.3332 0.0000
Pb1 Pb 0.0000 0.5000 0.5000
# - DFT total energy (eV/atom) = -5.391
# - magnetic moment (μB per formula unit) = 0.00
# - D(E_F) (states/eV/atom) = 0.4710
# - formation enthalpy at 0 K (eV per atom) = -0.5659

***

[3]
# Ba2CuF5 (GGA-PBE, relaxed)
data_Ba2CuF5
_chemical_formula_sum 'Ba2 Cu1 F5'
_cell_length_a 5.1380
_cell_length_b 5.5854
_cell_length_c 6.4644
_cell_angle_alpha 67.85
_cell_angle_beta 70.75
_cell_angle_gamma 69.33
_symmetry_space_group_name_H-M 'P 1'
_symmetry_Int_Tables_number 1
loop_
_symmetry_equiv_pos_as_xyz
'x,y,z'
loop_
_atom_site_label
_atom_site_type_symbol
_atom_site_fract_x
_atom_site_fract_y
_atom_site_fract_z
Ba1 Ba 0.0000 0.0000 0.0000
Ba2 Ba 0.4686 0.5195 0.5455
Cu1 Cu 0.2682 0.2423 0.2925
F1 F 0.2541 0.4862 0.9948
F2 F 0.3393 0.0127 0.5868
F3 F 0.5030 0.8696 0.1288
F4 F 0.8518 0.1708 0.3474
F5 F 0.9241 0.4584 0.6784
# - DFT total energy (eV/atom) = -5.155
# - E_form (uncorrected) (eV/atom) = -2.99
# - magnetic moment (μB per formula unit) = 0.00
# - D(E_F) (states/eV/atom) = 0.0000

***

[4]
# FeHgMo (GGA-PBE, relaxed)
data_FeHgMo
_chemical_formula_sum 'Fe4 Hg4 Mo4'
_cell_length_a 5.9657
_cell_length_b 5.9657
_cell_length_c 5.9657
_cell_angle_alpha 90.00
_cell_angle_beta 90.00
_cell_angle_gamma 90.00
_symmetry_space_group_name_H-M 'F -4 3 m'
_symmetry_Int_Tables_number 216
_symmetry_space_group_name_Hall 'F -4 2 3'
loop_
_atom_site_label
_atom_site_type_symbol
_atom_site_fract_x
_atom_site_fract_y
_atom_site_fract_z
Fe1 Fe 0.0000 0.0000 0.0000
Hg1 Hg 0.2500 0.2500 0.2500
Mo1 Mo 0.2500 0.2500 0.7500
# - DFT total energy (eV/atom) = -5.803
# - magnetic moment (μB per formula unit) = 1.75
# - D(E_F) (states/eV/atom) = 0.6000
# - formation enthalpy at 0 K (eV per atom) = 0.7286

***

[5]
# La15PrMg4 (GGA-PBE, relaxed)
data_La15PrMg4
_chemical_formula_sum 'La15 Pr1 Mg4'
_cell_length_a 5.1543
_cell_length_b 5.1543
_cell_length_c 25.7548
_cell_angle_alpha 90.00
_cell_angle_beta 90.00
_cell_angle_gamma 90.00
_symmetry_space_group_name_H-M 'P 4/m m m'
_symmetry_Int_Tables_number 123
_symmetry_space_group_name_Hall '-P 4 2'
loop_
_atom_site_label
_atom_site_type_symbol
_atom_site_fract_x
_atom_site_fract_y
_atom_site_fract_z
La1 La 0.0000 0.0000 0.0000
La2 La 0.0000 0.0000 0.2024
La3 La 0.0000 0.0000 0.4011
La4 La 0.0000 0.5000 0.1028
La5 La 0.0000 0.5000 0.3019
La6 La 0.0000 0.5000 0.5000
Pr1 Pr 0.5000 0.5000 0.0000
Mg1 Mg 0.5000 0.5000 0.2035
Mg2 Mg 0.5000 0.5000 0.4012
# - DFT total energy (eV/atom) = -4.267
# - magnetic moment (μB per formula unit) = 0.00
# - D(E_F) (states/eV/atom) = 1.6822
# - formation enthalpy at 0 K (eV per atom) = -0.0134

***

[6]
# Cs4PaO4 (GGA-PBE, relaxed)
data_Cs4PaO4
_chemical_formula_sum 'Cs8 Pa2 O8'
_cell_length_a 7.8602
_cell_length_b 7.8602
_cell_length_c 11.2740
_cell_angle_alpha 90.00
_cell_angle_beta 90.00
_cell_angle_gamma 90.00
_symmetry_space_group_name_H-M 'I -4 2 m'
_symmetry_Int_Tables_number 121
_symmetry_space_group_name_Hall 'I -4 2'
loop_
_atom_site_label
_atom_site_type_symbol
_atom_site_fract_x
_atom_site_fract_y
_atom_site_fract_z
Cs1 Cs 0.2088 0.2088 0.3491
Pa1 Pa 0.0000 0.0000 0.0000
O1 O 0.1507 0.1507 0.1084
# - DFT total energy (eV/atom) = -5.495
# - E_form (uncorrected) (eV/atom) = -1.86
# - magnetic moment (μB per formula unit) = 0.00
# - D(E_F) (states/eV/atom) = 0.2702

***

[7]
# VSi4Tc2 (GGA-PBE, relaxed)
data_VSi4Tc2
_chemical_formula_sum 'V2 Si8 Tc4'
_cell_length_a 4.3998
_cell_length_b 4.3998
_cell_length_c 12.1708
_cell_angle_alpha 90.00
_cell_angle_beta 90.00
_cell_angle_gamma 90.00
_symmetry_space_group_name_H-M 'I 4/m m m'
_symmetry_Int_Tables_number 139
_symmetry_space_group_name_Hall '-I 4 2'
loop_
_atom_site_label
_atom_site_type_symbol
_atom_site_fract_x
_atom_site_fract_y
_atom_site_fract_z
V1 V 0.0000 0.0000 0.0000
Si1 Si 0.0000 0.0000 0.1976
Si2 Si 0.0000 0.5000 0.0000
Tc1 Tc 0.0000 0.0000 0.3924
# - DFT total energy (eV/atom) = -6.872
# - E_form (uncorrected) (eV/atom) = 0.49
# - magnetic moment (μB per formula unit) = 1.51
# - D(E_F) (states/eV/atom) = 0.5848

***

[8]
# BiB3Os (GGA-PBE, relaxed)
data_BiB3Os
_chemical_formula_sum 'Bi1 B3 Os1'
_cell_length_a 4.4801
_cell_length_b 4.4801
_cell_length_c 4.4801
_cell_angle_alpha 90.00
_cell_angle_beta 90.00
_cell_angle_gamma 90.00
_symmetry_space_group_name_H-M 'P m -3 m'
_symmetry_Int_Tables_number 221
_symmetry_space_group_name_Hall '-P 4 2 3'
loop_
_atom_site_label
_atom_site_type_symbol
_atom_site_fract_x
_atom_site_fract_y
_atom_site_fract_z
Bi1 Bi 0.0000 0.0000 0.0000
B1 B 0.0000 0.0000 0.5000
Os1 Os 0.5000 0.5000 0.5000
# - DFT total energy (eV/atom) = -3.680
# - magnetic moment (μB per formula unit) = 0.00
# - D(E_F) (states/eV/atom) = 1.2755
# - formation enthalpy at 0 K (eV per atom) = 3.3486